Crystalline TlSi2MoH at its relaxed geometry. Source: the Alexandria database, functional PBE.

## Properties
Theoretical density, kg/m3: 8036
Uncorrected energy, eV/atom: -4.637
Total moment, μB per formula unit: 1.04

Cell lengths 3.9691, 3.9691, 4.6894 Å; angles 90.00, 90.00, 90.00 degrees
Closest atoms and distances in Å follow each position.
Element x y z (fractional)
Tl 0.0000 0.0000 0.0000  2 H 2.34
Si 0.0000 0.5000 0.5000  2 H 1.98
Si 0.5000 0.0000 0.5000  2 H 1.98
Mo 0.5000 0.5000 0.0000  4 Tl 2.81, 8 Si 3.07
H 0.0000 0.0000 0.5000  4 Si 1.98